Record 1
{
  "formula": "TaReAs",
  "functional": "meta-GGA SCAN",
  "state": "PBEsol geometry",
  "formation_energy_mev_per_atom": 141,
  "relative_energy_ev_per_fu": 0.39,
  "magmom_total_mub_per_cell": 0.0,
  "spacegroup": "Imm2",
  "dft_energy_ev_per_atom": -52.48,
  "lattice_angstrom": [[3.046, 0.000, 0.000], [0.000, 3.886, 0.000], [-1.523, -1.943, 4.013]],
  "species": ["Re", "As", "Ta"],
  "fractional_positions": [[0.670, 0.670, 0.340], [0.001, 0.001, 0.003], [0.329, 0.329, 0.657]]
}

---

Record 2
{
  "formula": "Ta2ReAs",
  "functional": "meta-GGA SCAN",
  "state": "PBEsol geometry",
  "formation_energy_mev_per_atom": 20,
  "magmom_total_mub_per_cell": 0.0,
  "spacegroup": "I4/mmm",
  "dft_energy_ev_per_atom": -56.09,
  "lattice_angstrom": [[-4.058, -0.248, -0.792], [1.386, -1.658, 4.249], [-0.782, 2.465, 3.236]],
  "species": ["Re", "As", "Ta", "Ta"],
  "fractional_positions": [[0.000, 0.000, 0.000], [0.500, 0.000, 0.500], [0.250, 0.500, 0.250], [0.750, 0.500, 0.750]]
}

---

Record 3
{
  "formula": "Ta2ReAs",
  "functional": "meta-GGA SCAN",
  "state": "PBEsol geometry",
  "formation_energy_mev_per_atom": -31,
  "magmom_total_mub_per_cell": 0.0,
  "spacegroup": "Pmmm",
  "dft_energy_ev_per_atom": -56.14,
  "lattice_angstrom": [[-3.059, -1.028, -0.745], [1.183, -4.010, 0.675], [-1.200, 0.386, 4.392]],
  "species": ["Re", "As", "Ta", "Ta"],
  "fractional_positions": [[0.000, 0.500, 0.500], [0.500, 0.500, 0.000], [0.000, 0.000, 0.000], [0.500, 0.000, 0.500]]
}

---

What did the first record say?
{
  "formula": "TaReAs",
  "functional": "meta-GGA SCAN",
  "state": "PBEsol geometry",
  "formation_energy_mev_per_atom": 141,
  "relative_energy_ev_per_fu": 0.39,
  "magmom_total_mub_per_cell": 0.0,
  "spacegroup": "Imm2",
  "dft_energy_ev_per_atom": -52.48,
  "lattice_angstrom": [[3.046, 0.000, 0.000], [0.000, 3.886, 0.000], [-1.523, -1.943, 4.013]],
  "species": ["Re", "As", "Ta"],
  "fractional_positions": [[0.670, 0.670, 0.340], [0.001, 0.001, 0.003], [0.329, 0.329, 0.657]]
}